1.
! La4Nd4In | Alexandria via LeMat-Bulk | PBE | optimized geometry; values from VASP
! Total DFT energy (no corrections)   -4.692 eV per atom
! Relative energy among the computed polymorphs   0.000 eV/f.u.
! ΔH_f (0 K)   -79 meV/atom
&SYSTEM
  ibrav = 0, nat = 9, ntyp = 3
/
ATOMIC_SPECIES
La 138.91 La.upf
Nd 144.24 Nd.upf
In 114.82 In.upf
CELL_PARAMETERS angstrom
-5.4966 5.4966 2.5517
5.4966 -5.4966 2.5517
5.4966 5.4966 -2.5517
ATOMIC_POSITIONS crystal
La 0.1612 0.1612 0.3225
La 0.1612 0.8388 0.0000
La 0.8388 0.1612 0.0000
La 0.8388 0.8388 0.6775
Nd 0.1705 0.5000 0.6705
Nd 0.5000 0.1705 0.6705
Nd 0.5000 0.8295 0.3295
Nd 0.8295 0.5000 0.3295
In 0.5000 0.5000 0.0000

2.
! Ca3Sn3Au8 | Alexandria via LeMat-Bulk | PBE | optimized geometry; values from VASP
! Total DFT energy (no corrections)   -3.687 eV per atom
! Relative energy among the computed polymorphs   0.000 eV/f.u.
! ΔH_f (0 K)   -527 meV/atom
&SYSTEM
  ibrav = 0, nat = 14, ntyp = 3
/
ATOMIC_SPECIES
Ca 40.08 Ca.upf
Sn 118.71 Sn.upf
Au 196.97 Au.upf
CELL_PARAMETERS angstrom
8.4204 -2.3731 0.0000
8.4204 2.3731 0.0000
-5.3019 0.0000 7.9813
ATOMIC_POSITIONS crystal
Ca 0.0000 0.0000 0.0000
Ca 0.2973 0.2973 0.2700
Ca 0.7027 0.7027 0.7300
Sn 0.0000 0.0000 0.5000
Sn 0.3311 0.3311 0.6845
Sn 0.6689 0.6689 0.3155
Au 0.1325 0.1325 0.8550
Au 0.1369 0.1369 0.4220
Au 0.3419 0.3419 0.9730
Au 0.4994 0.4994 0.6819
Au 0.5006 0.5006 0.3181
Au 0.6581 0.6581 0.0270
Au 0.8631 0.8631 0.5780
Au 0.8675 0.8675 0.1450